## Ba2GeBr2 (PBE-GGA)

Data for a relaxed Ba2GeBr2 crystal.

a = 6.3882 Å, b = 6.3882 Å, c = 9.2018 Å
α = 90.00°, β = 90.00°, γ = 90.00°
Space group I4/mmm (No. 139)
Symmetry-distinct sites (fractional):
Ba (0.0000, 0.5000, 0.2500)
Ge (0.0000, 0.0000, 0.0000)
Br (0.0000, 0.0000, 0.3169)

## Properties
Mass density = 4.485 Mg/m³
Fermi-level density of states = 0.03 states/eV/cell
Formation energy from raw total energies = -5.7 eV/f.u.
Offset from the most stable computed form = 0.000 eV per atom
Size of the total moment = 0.000 μB per atom